[1]
DFT (PBE-GGA) results for PuReNi after structural relaxation.

abc: 6.570 6.570 6.570
angles: 142.02 142.02 54.79
Sites, in units of the cell vectors:
Pu1 0.162 0.162 0.000
Pu2 0.838 0.838 0.000
Re1 0.000 0.500 0.500
Re2 0.500 0.000 0.500
Ni1 0.384 0.384 0.000
Ni2 0.616 0.616 0.000

Energy of formation from the pure elements: 0.112 eV/atom
DOS(E_F): 2.59 states/eV per atom

***

[2]
DFT (PBE-GGA) results for Pu2NiRh6 after structural relaxation.

abc: 5.463 5.463 5.892
angles: 90.12 90.12 59.96
Sites, in units of the cell vectors:
Pu1 0.167 0.167 0.157
Pu2 0.833 0.833 0.843
Ni1 0.500 0.500 0.000
Rh1 0.157 0.672 0.317
Rh2 0.328 0.328 0.682
Rh3 0.328 0.843 0.683
Rh4 0.672 0.157 0.317
Rh5 0.672 0.672 0.318
Rh6 0.843 0.328 0.683

Energy of formation from the pure elements: -0.228 eV/atom
DOS(E_F): 2.78 states/eV per atom

***

[3]
DFT (PBE-GGA) results for Pu2NiRh3 after structural relaxation.

abc: 5.160 5.160 5.160
angles: 62.89 62.89 62.89
Sites, in units of the cell vectors:
Pu1 0.125 0.125 0.125
Pu2 0.875 0.875 0.875
Ni1 0.500 0.500 0.500
Rh1 0.000 0.500 0.500
Rh2 0.500 0.000 0.500
Rh3 0.500 0.500 0.000

Energy of formation from the pure elements: -0.472 eV/atom
DOS(E_F): 2.94 states/eV per atom

***

[4]
DFT (PBE-GGA) results for PuNiRh after structural relaxation.

abc: 5.199 5.199 5.199
angles: 122.33 117.45 90.24
Sites, in units of the cell vectors:
Pu1 0.375 0.125 0.250
Pu2 0.625 0.875 0.750
Ni1 0.000 0.000 0.500
Ni2 0.000 0.500 0.000
Rh1 0.000 0.500 0.500
Rh2 0.500 0.500 0.000

Excess energy over the best structure of this formula in the dataset: 0 meV/atom
Energy of formation from the pure elements: -0.417 eV/atom
DOS(E_F): 3.06 states/eV per atom

***

[5]
DFT (PBE-GGA) results for PuNi5Rh2 after structural relaxation.

abc: 6.028 6.028 6.028
angles: 145.61 106.25 83.97
Sites, in units of the cell vectors:
Pu1 0.000 0.000 0.000
Ni1 0.189 0.363 0.826
Ni2 0.463 0.637 0.826
Ni3 0.500 0.000 0.500
Ni4 0.537 0.363 0.174
Ni5 0.811 0.637 0.174
Rh1 0.219 0.719 0.500
Rh2 0.781 0.281 0.500

Energy of formation from the pure elements: 0.019 eV/atom
DOS(E_F): 1.80 states/eV per atom

***

[6]
DFT (PBE-GGA) results for PuNiRh after structural relaxation.

abc: 5.137 5.137 5.137
angles: 142.06 142.06 54.73
Sites, in units of the cell vectors:
Pu1 0.000 0.000 0.000
Ni1 0.680 0.680 0.000
Rh1 0.314 0.314 0.000

Excess energy over the best structure of this formula in the dataset: 304 meV/atom
Energy of formation from the pure elements: -0.113 eV/atom
DOS(E_F): 3.21 states/eV per atom

***

[7]
DFT (PBE-GGA) results for PuNiRh after structural relaxation.

abc: 6.165 6.165 6.165
angles: 90.00 90.00 90.00
Sites, in units of the cell vectors:
Pu1 0.030 0.030 0.030
Pu2 0.470 0.970 0.530
Pu3 0.530 0.470 0.970
Pu4 0.970 0.530 0.470
Ni1 0.019 0.981 0.481
Ni2 0.481 0.019 0.981
Ni3 0.519 0.519 0.519
Ni4 0.981 0.481 0.019
Rh1 0.214 0.714 0.786
Rh2 0.286 0.286 0.286
Rh3 0.714 0.786 0.214
Rh4 0.786 0.214 0.714

Excess energy over the best structure of this formula in the dataset: 454 meV/atom
Energy of formation from the pure elements: 0.037 eV/atom
DOS(E_F): 2.86 states/eV per atom

***

[8]
DFT (PBE-GGA) results for Pu3NiRh2 after structural relaxation.

abc: 8.362 8.362 8.362
angles: 146.64 131.98 59.73
Sites, in units of the cell vectors:
Pu1 0.000 0.000 0.000
Pu2 0.175 0.669 0.507
Pu3 0.338 0.331 0.007
Pu4 0.500 0.000 0.500
Pu5 0.662 0.669 0.993
Pu6 0.825 0.331 0.493
Ni1 0.412 0.162 0.250
Ni2 0.588 0.838 0.750
Rh1 0.083 0.833 0.250
Rh2 0.245 0.495 0.750
Rh3 0.755 0.505 0.250
Rh4 0.917 0.167 0.750

Energy of formation from the pure elements: -0.296 eV/atom
DOS(E_F): 4.06 states/eV per atom